Computed, not measured: a relaxed structure of NaMg6Sb at the PBE level of DFT.

```
8
Lattice="5.110 0.000 0.000 0.000 3.293 5.684 0.000 -3.293 5.684" Properties=species:S:1:pos:R:3 pbc="T T T"
Na 0.000 0.000 0.000
Mg 0.000 0.000 5.597
Mg 0.000 -1.608 8.524
Mg 0.000 1.608 8.524
Mg 2.555 -1.622 4.653
Mg 2.555 1.622 4.653
Mg 2.555 0.000 7.494
Sb 2.555 0.000 1.904
```

Values from the calculation:
* polymorph energy (0 for the lowest one): 0.000 eV/atom
* symmetry: Amm2, No. 38
* formation energy (no corrections): -0.047 eV/atom
* total moment: 0.00 Bohr magnetons per cell